# 1
Below is TeMoPt after structural relaxation, with properties calculated at the PBEsol level.

The calculation puts the energy at -7.029 eV/atom. As for the crystal system: cubic. As for the space-group type: F-43m (216).

```
3
Lattice="0.000 3.072 3.072 3.072 0.000 3.072 3.072 3.072 0.000" Properties=species:S:1:pos:R:3 pbc="T T T"
Te 0.000 0.000 0.000
Mo 4.608 4.608 4.608
Pt 1.536 1.536 1.536
```



# 2
Below is KAlZnMo2 after structural relaxation, with properties calculated at the PBEsol level.

The value obtained for the formation energy is 13.32 eV/f.u. As for the crystal system: tetragonal. As for the space-group type: P4/mmm (123).

```
5
Lattice="4.475 0.000 0.000 0.000 4.475 0.000 0.000 0.000 4.750" Properties=species:S:1:pos:R:3 pbc="T T T"
K 0.000 0.000 0.000
Al 2.238 2.238 2.375
Zn 0.000 0.000 2.375
Mo 0.000 2.238 0.000
Mo 2.238 0.000 0.000
```



> Which formula does entry 1 have?

TeMoPt